[1]
VASP calculation (PBE) on a geometry-optimized Cu4PdAu2 structure.

a b c (Å): 9.446 4.950 5.048
angles (deg): 119.36 90.00 90.00
Fractional coordinates of all 14 atoms:
Au 0.000 0.672 0.345
Au 0.000 0.328 0.655
Au 0.500 0.828 0.655
Au 0.500 0.172 0.345
Pd 0.000 0.000 0.000
Pd 0.500 0.500 0.000
Cu 0.775 0.524 0.000
Cu 0.750 0.515 0.500
Cu 0.750 0.015 0.500
Cu 0.725 0.024 0.000
Cu 0.275 0.976 0.000
Cu 0.250 0.985 0.500
Cu 0.250 0.485 0.500
Cu 0.225 0.476 0.000

energy relative to the lowest polymorph listed for this composition = 0.279 eV/f.u.


[2]
VASP calculation (PBE) on a geometry-optimized CsKNaCl3 structure.

a b c (Å): 4.906 8.685 10.336
angles (deg): 109.21 90.00 90.00
Fractional coordinates of all 12 atoms:
Cs 0.750 0.769 0.753
Cs 0.250 0.231 0.247
K 0.250 0.683 0.120
K 0.750 0.317 0.880
Na 0.250 0.148 0.623
Na 0.750 0.852 0.377
Cl 0.250 0.813 0.470
Cl 0.750 0.914 0.135
Cl 0.750 0.497 0.192
Cl 0.750 0.187 0.530
Cl 0.250 0.503 0.808
Cl 0.250 0.086 0.865

E = -3.3234 eV per atom